DFT (PBE) results for a relaxed TbRuRh crystal.

Computed properties:
- E_form (kJ/mol of atoms) = -31.37
- raw total energy (Ry/atom) = -0.5447
- symmetry = No. 189

abc: 6.868 6.868 4.141
angles: 90.00 90.00 120.00
Element x y z (fractional)
Tb (0.000, 0.595, 0.000)
Tb (0.405, 0.405, 0.000)
Tb (0.595, 0.000, 0.000)
Ru (0.000, 0.237, 0.500)
Ru (0.237, 0.000, 0.500)
Ru (0.763, 0.763, 0.500)
Rh (0.000, 0.000, 0.000)
Rh (0.333, 0.667, 0.500)
Rh (0.667, 0.333, 0.500)